(1)
Compound: Ac6SmY4
Source: Alexandria via LeMat-Bulk
Functional: PBE
Structure: relaxed

Results
Its space-group type is Cmcm, No. 63. The energy of formation comes out at 0.113 eV per atom. Its calculated total energy is -4.907 eV per atom. The value obtained for the spin magnetization is 0.00 Bohr magnetons per cell.

a = 6.073 Å, b = 5.997 Å, c = 27.605 Å
α = 90.00°, β = 90.00°, γ = 120.42°
Element x y z (fractional)
Ac 0.847 0.695 0.819
Ac 0.485 0.969 0.250
Ac 0.500 0.000 0.000
Ac 0.823 0.647 0.094
Ac 0.515 0.031 0.750
Ac 0.177 0.353 0.906
Ac 0.177 0.353 0.594
Ac 0.847 0.695 0.681
Ac 0.153 0.305 0.181
Ac 0.153 0.305 0.319
Ac 0.823 0.647 0.406
Ac 0.500 0.000 0.500
Y 0.514 0.027 0.625
Y 0.514 0.027 0.875
Y 0.486 0.973 0.125
Y 0.162 0.324 0.453
Y 0.486 0.973 0.375
Y 0.838 0.676 0.953
Y 0.838 0.676 0.547
Y 0.162 0.324 0.047
Sm 0.820 0.640 0.250
Sm 0.180 0.360 0.750

---

(2)
Compound: Ac2Sm2Y3
Source: Alexandria via LeMat-Bulk
Functional: PBE
Structure: relaxed

Results
Its space-group type is P2/m, No. 10. The energy of formation comes out at 0.159 eV per atom. Its calculated total energy is -5.134 eV per atom. The value obtained for the spin magnetization is 0.00 Bohr magnetons per cell.

a = 3.584 Å, b = 5.808 Å, c = 12.536 Å
α = 76.64°, β = 90.00°, γ = 90.00°
Element x y z (fractional)
Sm 0.500 0.851 0.300
Sm 0.500 0.149 0.700
Y 0.000 0.000 0.000
Y 0.000 0.718 0.564
Y 0.000 0.282 0.436
Ac 0.000 0.577 0.845
Ac 0.000 0.423 0.155

---

(3)
Compound: Ac8Sm4Y
Source: Alexandria via LeMat-Bulk
Functional: PBE
Structure: relaxed

Results
Its space-group type is Pm-3m, No. 221. The energy of formation comes out at 0.396 eV per atom. Its calculated total energy is -4.082 eV per atom. The value obtained for the spin magnetization is 0.00 Bohr magnetons per cell.

a = 11.822 Å, b = 11.822 Å, c = 8.357 Å
α = 90.00°, β = 135.02°, γ = 120.00°
Element x y z (fractional)
Sm 0.500 0.000 0.000
Sm 0.000 0.500 0.000
Sm 0.500 0.500 0.000
Sm 0.000 0.000 0.000
Ac 0.482 0.241 0.240
Ac 0.482 0.241 0.723
Ac 0.518 0.759 0.277
Ac 0.000 0.241 0.240
Ac 0.000 0.759 0.760
Ac 0.518 0.759 0.760
Ac 0.000 0.759 0.240
Ac 0.000 0.241 0.760
Y 0.000 0.500 0.500

---

(4)
Compound: AcSm3Y
Source: Alexandria via LeMat-Bulk
Functional: PBE
Structure: relaxed

Results
Its space-group type is Pnma, No. 62. The energy of formation comes out at 0.036 eV per atom. Its calculated total energy is -4.910 eV per atom. The value obtained for the spin magnetization is 0.00 Bohr magnetons per cell. The energy above the lowest structure with this stoichiometry is 0.000 eV/atom.

a = 3.708 Å, b = 10.386 Å, c = 18.455 Å
α = 90.00°, β = 90.00°, γ = 90.00°
Element x y z (fractional)
Sm 0.750 0.124 0.250
Sm 0.250 0.876 0.351
Sm 0.250 0.370 0.549
Sm 0.250 0.376 0.149
Sm 0.250 0.876 0.750
Sm 0.250 0.870 0.951
Sm 0.250 0.376 0.750
Sm 0.750 0.124 0.649
Sm 0.750 0.624 0.250
Sm 0.750 0.630 0.451
Sm 0.750 0.130 0.049
Sm 0.750 0.624 0.851
Y 0.750 0.119 0.452
Y 0.250 0.881 0.548
Y 0.250 0.381 0.952
Y 0.750 0.619 0.048
Ac 0.250 0.874 0.150
Ac 0.750 0.626 0.650
Ac 0.250 0.374 0.350
Ac 0.750 0.126 0.850

---

(5)
Compound: Ac2Sm3Y4
Source: Alexandria via LeMat-Bulk
Functional: PBE
Structure: relaxed

Results
Its space-group type is P3m1, No. 156. The energy of formation comes out at 0.078 eV per atom. Its calculated total energy is -5.281 eV per atom. The value obtained for the spin magnetization is 0.28 Bohr magnetons per cell. The energy above the lowest structure with this stoichiometry is 0.000 eV/atom.

a = 3.714 Å, b = 3.714 Å, c = 27.110 Å
α = 90.00°, β = 90.00°, γ = 120.00°
Last column: magnetic moment on the atom in μB.
Element x y z (fractional)
Ac 0.667 0.333 0.865  0.00
Ac 0.667 0.333 0.095  0.00
Sm 0.000 0.000 0.331  0.03
Sm 0.000 0.000 0.983  0.00
Sm 0.667 0.333 0.646  -0.02
Y 0.000 0.000 0.752  -0.01
Y 0.667 0.333 0.437  0.07
Y 0.667 0.333 0.228  0.04
Y 0.000 0.000 0.540  0.01

---

(6)
Compound: AcSm6Y3
Source: Alexandria via LeMat-Bulk
Functional: PBE
Structure: relaxed

Results
Its space-group type is Cmc2_1, No. 36. The energy of formation comes out at 0.134 eV per atom. Its calculated total energy is -5.048 eV per atom. The value obtained for the spin magnetization is 0.00 Bohr magnetons per cell.

a = 6.536 Å, b = 11.839 Å, c = 11.839 Å
α = 130.66°, β = 90.00°, γ = 90.00°
Element x y z (fractional)
Y 0.490 0.302 0.045
Y 0.490 0.955 0.698
Y 0.106 0.418 0.582
Y 0.990 0.045 0.302
Y 0.990 0.698 0.955
Y 0.606 0.582 0.418
Sm 0.338 0.455 0.892
Sm 0.838 0.892 0.455
Sm 0.078 0.379 0.263
Sm 0.578 0.621 0.737
Sm 0.759 0.010 0.990
Sm 0.338 0.108 0.545
Sm 0.259 0.990 0.010
Sm 0.300 0.699 0.301
Sm 0.078 0.737 0.621
Sm 0.578 0.263 0.379
Sm 0.838 0.545 0.108
Sm 0.800 0.301 0.699
Ac 0.509 0.846 0.154
Ac 0.009 0.154 0.846

---

(7)
Compound: Ac5Sm2Y4
Source: Alexandria via LeMat-Bulk
Functional: PBE
Structure: relaxed

Results
Its space-group type is P2/m, No. 10. The energy of formation comes out at 0.096 eV per atom. Its calculated total energy is -4.980 eV per atom. The value obtained for the spin magnetization is 0.00 Bohr magnetons per cell.

a = 3.833 Å, b = 9.541 Å, c = 11.777 Å
α = 94.71°, β = 90.00°, γ = 90.00°
Element x y z (fractional)
Y 0.500 0.807 0.134
Y 0.500 0.759 0.570
Y 0.500 0.241 0.430
Y 0.500 0.193 0.866
Ac 0.000 0.549 0.327
Ac 0.000 0.500 0.000
Ac 0.000 0.451 0.673
Ac 0.000 0.845 0.858
Ac 0.000 0.155 0.142
Sm 0.000 0.073 0.632
Sm 0.000 0.927 0.368

---

(8)
Compound: Ac2Sm4Y5
Source: Alexandria via LeMat-Bulk
Functional: PBE
Structure: relaxed

Results
Its space-group type is C2/m, No. 12. The energy of formation comes out at 0.155 eV per atom. Its calculated total energy is -5.246 eV per atom. The value obtained for the spin magnetization is 0.00 Bohr magnetons per cell. The energy above the lowest structure with this stoichiometry is 0.000 eV/atom.

a = 6.847 Å, b = 9.073 Å, c = 10.575 Å
α = 40.41°, β = 71.11°, γ = 67.83°
Element x y z (fractional)
Sm 0.754 0.679 0.813
Sm 0.416 0.770 0.398
Sm 0.246 0.321 0.187
Sm 0.584 0.230 0.602
Y 0.000 0.500 0.500
Y 0.173 0.275 0.900
Y 0.827 0.725 0.100
Y 0.652 0.275 0.900
Y 0.348 0.725 0.100
Ac 0.799 0.099 0.303
Ac 0.201 0.901 0.697

---

(9)
Compound: Ac4SmY6
Source: Alexandria via LeMat-Bulk
Functional: PBE
Structure: relaxed

Results
Its space-group type is I-42m, No. 121. The energy of formation comes out at 0.294 eV per atom. Its calculated total energy is -5.155 eV per atom. The value obtained for the spin magnetization is 0.00 Bohr magnetons per cell.

a = 9.694 Å, b = 9.694 Å, c = 9.694 Å
α = 63.02°, β = 136.62°, γ = 136.62°
Element x y z (fractional)
Ac 0.392 0.376 0.376
Ac 0.000 0.624 0.016
Ac 0.608 0.984 0.984
Ac 0.000 0.016 0.624
Y 0.332 0.565 0.565
Y 0.668 0.233 0.233
Y 0.500 0.000 0.500
Y 0.000 0.435 0.767
Y 0.000 0.767 0.435
Y 0.500 0.500 0.000
Sm 0.000 0.000 0.000

---

(10)
Compound: AcSm3Y4
Source: Alexandria via LeMat-Bulk
Functional: PBE
Structure: relaxed

Results
Its space-group type is Immm, No. 71. The energy of formation comes out at 0.153 eV per atom. Its calculated total energy is -5.362 eV per atom. The value obtained for the spin magnetization is 0.00 Bohr magnetons per cell. The energy above the lowest structure with this stoichiometry is 0.120 eV/atom.

a = 3.504 Å, b = 9.078 Å, c = 9.078 Å
α = 81.53°, β = 78.87°, γ = 78.87°
Element x y z (fractional)
Y 0.364 0.881 0.390
Y 0.636 0.119 0.610
Y 0.636 0.610 0.119
Y 0.364 0.390 0.881
Sm 0.243 0.757 0.757
Sm 0.000 0.500 0.500
Sm 0.757 0.243 0.243
Ac 0.500 0.000 0.000

---

| no. | N(E_F) (states/eV/f.u.) |
| --- | --- |
| 1 | 17.2 |
| 2 | 11.6 |
| 3 | 20.3 |
| 4 | 7.6 |
| 5 | 15.7 |
| 6 | 14.3 |
| 7 | 17.9 |
| 8 | 16.1 |
| 9 | 16.4 |
| 10 | 14.0 |